Computed, not measured: crystalline Pr3Nd2Sm6Ho at its relaxed geometry at the PBE-GGA level of DFT.

Computed properties:
**Formation energy from the elements**: 0.2 eV/f.u.
**Total DFT energy (no corrections)**: -4.716 eV per atom
**DOS(E_F)**: 17.44 states/eV per cell

```
12
Lattice="-0.9258 4.2843 4.5597 3.8819 -4.8923 0.9994 8.1590 6.6114 -6.0231" Properties=species:S:1:pos:R:3 pbc="T T T"
Pr 5.5576 3.0017 -0.2320
Pr 7.1604 -0.0576 -1.4190
Pr 3.9548 6.0611 0.9549
Sm 3.5550 -0.0375 -0.7023
Sm 9.1577 2.9919 -0.9447
Sm 7.5602 6.0410 0.2383
Sm 1.9575 3.0116 0.4806
Sm 4.2399 1.1828 2.6769
Sm 6.8753 4.8207 -3.1410
Nd 2.2793 -1.8332 2.1862
Nd 0.6769 1.2252 3.3728
Ho 0.0000 0.0000 0.0000
```